The following is a PBE calculation of a relaxed structure of Cu4PdAu5, from the Alexandria database.

a = 2.9428 Å, b = 2.9428 Å, c = 17.8123 Å
α = 90.00°, β = 90.00°, γ = 90.00°
Last column: nearest neighbours and their distance in Å.
Space group P4/mmm (No. 123)
Symmetry-distinct sites (fractional):
1 Cu 0.0000 0.0000 0.0980  8 Au 2.72, 4 Cu 2.94
2 Cu 0.0000 0.0000 0.2942  8 Au 2.70-2.72, 4 Cu 2.94
3 Pd 0.0000 0.0000 0.5000  8 Au 2.85, 4 Pd 2.94
4 Au 0.5000 0.5000 0.0000  8 Cu 2.72, 4 Au 2.94
5 Au 0.5000 0.5000 0.1959  8 Cu 2.72, 4 Au 2.94
6 Au 0.5000 0.5000 0.3904  4 Cu 2.70, 4 Pd 2.85, 4 Au 2.94

## Properties
N(E_F)   0.27 states/eV/atom
V   15.4 Å³/atom
Formation enthalpy at 0 K   -63 meV/atom
Uncorrected energy   -38.592 eV/cell